Entry 1:
6
Lattice="0.000 3.570 3.570 3.570 0.000 3.570 3.570 3.570 0.000" Properties=species:S:1:pos:R:3 comment="ScCuP4 (GGA-PBE, relaxed)" energy_ev_per_atom=-5.202 formation_enthalpy_0k_ev_per_fu=0.85 total_magnetization_mub_per_atom=0.000 sg="F-43m (216)" pbc="T T T"
Sc 1.785 1.785 1.785
Cu 0.000 0.000 0.000
P 2.659 2.659 4.481
P 2.659 4.481 2.659
P 4.481 4.481 4.481
P 4.481 2.659 2.659

***

Entry 2:
4
Lattice="2.094 0.000 6.446 -1.047 1.813 6.446 -1.047 -1.813 6.446" Properties=species:S:1:pos:R:3 comment="AgBiO2 (GGA-PBE, relaxed)" energy_ev_per_atom=-4.911 total_magnetization_mub_per_atom=0.000 raw_formation_energy_ev_per_atom=-0.749 sg="R-3m (166)" pbc="T T T"
O 0.000 0.000 17.265
O 0.000 0.000 2.074
Bi 0.000 0.000 9.669
Ag 0.000 0.000 0.000

***

Entry 3:
7
Lattice="-2.574 -0.853 -4.273 -2.315 -3.937 2.180 -3.930 7.685 3.831" Properties=species:S:1:pos:R:3 comment="Ce4Bi2Ru (GGA-PBE, relaxed)" energy_ev_per_atom=-6.322 formation_enthalpy_0k_ev_per_fu=-3.48 total_magnetization_mub_per_atom=0.514 sg="I4/mmm (139)" pbc="T T T"
Ru 0.000 0.000 0.000
Bi -4.213 -0.927 -0.274
Bi -4.606 3.822 2.012
Ce -6.612 1.063 0.774
Ce -2.208 1.832 0.964
Ce -1.157 -1.969 1.090
Ce -1.287 -0.426 -2.137

***

Entry 4:
5
Lattice="6.899 0.000 0.000 0.000 6.899 0.000 3.449 3.449 3.518" Properties=species:S:1:pos:R:3 comment="Cs2Ag2O (GGA-PBE, relaxed)" energy_ev_per_atom=-2.700 total_magnetization_mub_per_atom=0.000 raw_formation_energy_ev_per_atom=-0.227 sg="I4/mmm (139)" pbc="T T T"
Cs 6.899 3.449 1.759
Cs 3.449 6.899 1.759
O 0.000 0.000 0.000
Ag 3.449 3.449 1.351
Ag 6.899 6.899 2.167

***

Entry 5:
10
Lattice="-5.140 0.352 -5.646 5.545 -1.195 -5.122 -0.469 -3.163 0.230" Properties=species:S:1:pos:R:3 comment="Tc2GeSb2 (GGA-PBE, relaxed)" energy_ev_per_atom=-6.460 total_magnetization_mub_per_atom=0.000 raw_formation_energy_ev_per_atom=0.259 sg="P4/mbm (127)" pbc="T T T"
Sb 2.598 -2.304 -4.049
Sb 1.150 -2.370 -7.908
Sb -2.662 -1.702 -6.489
Sb -1.214 -1.636 -2.630
Ge 0.000 0.000 0.000
Ge 0.203 -0.422 -5.384
Tc 2.915 -0.895 -6.362
Tc -0.797 -0.473 -8.130
Tc -2.510 0.052 -4.406
Tc 1.202 -0.370 -2.638

***

Entry 6:
12
Lattice="-0.035 7.732 -3.427 -6.806 -4.878 -1.190 -0.360 -0.586 8.429" Properties=species:S:1:pos:R:3 comment="CeNd8Ho3 (GGA-PBE, relaxed)" energy_ev_per_atom=-4.270 formation_enthalpy_0k_ev_per_fu=6.58 total_magnetization_mub_per_atom=0.000 sg="I-42m (121)" pbc="T T T"
Ce 0.000 0.000 0.000
Nd -1.582 2.480 -0.047
Nd -5.345 -0.003 3.583
Nd -5.411 -3.963 1.233
Nd -2.028 -1.710 6.283
Nd -2.612 -0.101 1.795
Nd -0.884 5.194 -1.726
Nd -4.650 -3.622 6.663
Nd -6.220 -4.667 4.319
Ho -5.212 0.061 -0.498
Ho -1.989 2.207 4.311
Ho -3.583 -2.732 3.620